[1]
Computed, not measured: crystalline B3C at its relaxed geometry at the PBE-GGA level of DFT.

* magnetic moment: 0.00 μB per cell
* E above lowest polymorph: 135.1 meV/atom
* symmetry: No. 6
* energy relative to the elements: 0.38 eV/atom

Unit cell a=2.7898 b=4.7016 c=6.4717 alpha=102.98 beta=90.00 gamma=90.00
Fractional positions:
B: 0.5000 0.8553 0.3442
B: 0.5000 0.4506 0.2420
B: 0.5000 0.3818 0.9632
B: 0.5000 0.0588 0.0709
B: 0.0000 0.8075 0.6664
B: 0.0000 0.0074 0.2274
B: 0.0000 0.8993 0.9524
B: 0.0000 0.5106 0.8314
B: 0.5000 0.2825 0.6758
C: 0.0000 0.4374 0.5826
C: 0.0000 0.3758 0.3493
C: 0.5000 0.9331 0.5944

=====

[2]
Computed, not measured: crystalline B7C5 at its relaxed geometry at the PBE-GGA level of DFT.

* magnetic moment: 0.00 μB per cell
* E above lowest polymorph: 298.1 meV/atom
* symmetry: No. 6
* energy relative to the elements: 0.46 eV/atom

Unit cell a=2.5989 b=3.6591 c=8.4089 alpha=79.20 beta=90.00 gamma=90.00
Fractional positions:
B: 0.5000 0.4450 0.2137
B: 0.0000 0.1933 0.1444
B: 0.0000 0.9505 0.9884
B: 0.5000 0.5816 0.9964
B: 0.5000 0.5782 0.5163
B: 0.0000 0.1316 0.3540
B: 0.5000 0.8445 0.2988
C: 0.0000 0.3136 0.5102
C: 0.5000 0.4512 0.8210
C: 0.0000 0.2147 0.8160
C: 0.0000 0.0188 0.6691
C: 0.5000 0.7770 0.6717

=====

[3]
Computed, not measured: crystalline BC at its relaxed geometry at the PBE-GGA level of DFT.

* magnetic moment: 0.00 μB per cell
* E above lowest polymorph: 97.4 meV/atom
* symmetry: No. 164
* energy relative to the elements: 0.25 eV/atom

Unit cell a=2.7032 b=2.7032 c=16.2663 alpha=90.00 beta=90.00 gamma=120.00
Fractional positions:
B: 0.0000 0.0000 0.8117
B: 0.6667 0.3333 0.7014
B: 0.0000 0.0000 0.3214
B: 0.0000 0.0000 0.5536
B: 0.3333 0.6667 0.1736
B: 0.0000 0.0000 0.0633
C: 0.6667 0.3333 0.8024
C: 0.3333 0.6667 0.6603
C: 0.6667 0.3333 0.3104
C: 0.3333 0.6667 0.5646
C: 0.6667 0.3333 0.2147
C: 0.3333 0.6667 0.0726

=====

[4]
Computed, not measured: crystalline B3C2 at its relaxed geometry at the PBE-GGA level of DFT.

* magnetic moment: 0.00 μB per cell
* E above lowest polymorph: 149.3 meV/atom
* symmetry: No. 8
* energy relative to the elements: 0.36 eV/atom

Unit cell a=4.9075 b=2.6422 c=4.9916 alpha=90.00 beta=95.46 gamma=90.00
Fractional positions:
C: 0.6337 0.0000 0.8246
C: 0.6337 0.5000 0.3246
C: 0.1111 0.0000 0.1448
C: 0.1111 0.5000 0.6448
B: 0.5912 0.0000 0.4840
B: 0.5912 0.5000 0.9840
B: 0.9784 0.0000 0.8272
B: 0.9784 0.5000 0.3272
B: 0.3080 0.0000 0.6776
B: 0.3080 0.5000 0.1776

=====

[5]
Computed, not measured: crystalline B3C2 at its relaxed geometry at the PBE-GGA level of DFT.

* magnetic moment: 0.00 μB per cell
* E above lowest polymorph: 145.0 meV/atom
* symmetry: No. 8
* energy relative to the elements: 0.36 eV/atom

Unit cell a=4.3012 b=4.3012 c=6.3173 alpha=79.29 beta=79.29 gamma=35.46
Fractional positions:
B: 0.9678 0.9678 0.0044
B: 0.7439 0.7439 0.0644
B: 0.8401 0.8401 0.7908
B: 0.5942 0.5942 0.8478
B: 0.6284 0.6284 0.5577
B: 0.4119 0.4119 0.4029
C: 0.4354 0.4354 0.6803
C: 0.2156 0.2156 0.4381
C: 0.1734 0.1734 0.2135
C: 0.9894 0.9894 0.2500

=====

[6]
Computed, not measured: crystalline B7C5 at its relaxed geometry at the PBE-GGA level of DFT.

* magnetic moment: 0.00 μB per cell
* E above lowest polymorph: 215.1 meV/atom
* symmetry: No. 115
* energy relative to the elements: 0.38 eV/atom

Unit cell a=2.4445 b=2.4445 c=13.5330 alpha=90.00 beta=90.00 gamma=90.00
Fractional positions:
B: 0.5000 0.0000 0.9167
B: 0.5000 0.5000 0.4950
B: 0.5000 0.0000 0.5945
B: 0.0000 0.0000 0.6908
B: 0.5000 0.5000 0.1425
B: 0.5000 0.0000 0.2388
B: 0.0000 0.0000 0.3383
C: 0.5000 0.5000 0.8348
C: 0.0000 0.5000 0.7731
C: 0.0000 0.5000 0.4167
C: 0.0000 0.0000 0.9986
C: 0.0000 0.5000 0.0602

=====

Ordered volume results: 6.89, 6.55, 8.58, 6.44, 6.65, 6.74; unit A^3/atom.